This record from the Alexandria database describes an optimized crystal structure of Ca2TaAu. The functional is PBE. Values from VASP.

Geometry as Quantum ESPRESSO input:
```
&SYSTEM
  ibrav = 0, nat = 4, ntyp = 3
/
ATOMIC_SPECIES
Ca 40.08 Ca.upf
Au 196.97 Au.upf
Ta 180.95 Ta.upf
CELL_PARAMETERS angstrom
7.328 -0.026 -0.085
-2.973 4.821 0.051
1.381 0.823 2.698
ATOMIC_POSITIONS angstrom
Ca 4.354 0.399 1.307
Au 2.177 2.398 -0.017
Ca 0.000 0.000 0.000
Ta -0.796 2.822 1.375
```

* E_form: 0.331 eV/atom
* polymorph energy (0 for the lowest one): 204 meV/atom
* size of the total moment: 1.01 μB/cell